# 1
NaPuIrO6 | GGA-PBE | optimized geometry

Output
The total magnetic moment comes out at 3.898 Bohr magnetons per cell. The density of states at the Fermi level comes out at 0.64 states/eV/atom. The value obtained for the formation energy without anion corrections is -1679 meV per atom.

a b c (Å): 5.3065 5.3065 10.5270
angles (deg): 90.00 90.00 120.00
Last column: nearest neighbours and their distance in Å.
Positions (direct):
Na: 0.0000 0.0000 0.0000  6 O 2.45
Na: 0.0000 0.0000 0.5000  6 O 2.45
Pu: 0.3333 0.6667 0.2500  6 O 2.06
Pu: 0.6667 0.3333 0.7500  6 O 2.06
Ir: 0.3333 0.6667 0.7500  6 O 2.00
Ir: 0.6667 0.3333 0.2500  6 O 2.00
O: 0.0086 0.3620 0.6466  1 Ir 2.00, 1 Pu 2.06
O: 0.0086 0.6466 0.8534  1 Ir 2.00, 1 Pu 2.06
O: 0.3534 0.3620 0.8534  1 Ir 2.00, 1 Pu 2.06
O: 0.3534 0.9914 0.6466  1 Ir 2.00, 1 Pu 2.06
O: 0.3620 0.0086 0.1466  1 Ir 2.00, 1 Pu 2.06
O: 0.3620 0.3534 0.3534  1 Ir 2.00, 1 Pu 2.06
O: 0.6380 0.6466 0.6466  1 Ir 2.00, 1 Pu 2.06
O: 0.6380 0.9914 0.8534  1 Ir 2.00, 1 Pu 2.06
O: 0.6466 0.0086 0.3534  1 Ir 2.00, 1 Pu 2.06
O: 0.6466 0.6380 0.1466  1 Ir 2.00, 1 Pu 2.06
O: 0.9914 0.3534 0.1466  1 Ir 2.00, 1 Pu 2.06
O: 0.9914 0.6380 0.3534  1 Ir 2.00, 1 Pu 2.06

=====

# 2
HoCu12Ge4 | GGA-PBE | optimized geometry

Output
The total magnetic moment comes out at 0.000 Bohr magnetons per cell. The value obtained for the formation energy from the elements is 0.310 eV per atom. The density of states at the Fermi level comes out at 0.57 states/eV/atom.

a b c (Å): 7.1485 7.1485 7.1485
angles (deg): 109.47 109.47 109.47
Last column: nearest neighbours and their distance in Å.
Positions (direct):
Ho: 0.0000 0.0000 0.0000  12 Cu 3.17
Cu: 0.1490 0.3543 0.5034  2 Ge 2.39, 2 Cu 2.40-2.46
Cu: 0.1490 0.6457 0.7947  2 Ge 2.39, 2 Cu 2.40-2.46
Cu: 0.2053 0.8510 0.3543  2 Ge 2.39, 2 Cu 2.40-2.46
Cu: 0.3543 0.2053 0.8510  2 Ge 2.39, 2 Cu 2.40-2.46
Cu: 0.3543 0.5034 0.1490  2 Ge 2.39, 2 Cu 2.40-2.46
Cu: 0.4966 0.8510 0.6457  2 Ge 2.39, 2 Cu 2.40-2.46
Cu: 0.5034 0.1490 0.3543  2 Ge 2.39, 2 Cu 2.40-2.46
Cu: 0.6457 0.4966 0.8510  2 Ge 2.39, 2 Cu 2.40-2.46
Cu: 0.6457 0.7947 0.1490  2 Ge 2.39, 2 Cu 2.40-2.46
Cu: 0.7947 0.1490 0.6457  2 Ge 2.39, 2 Cu 2.40-2.46
Cu: 0.8510 0.3543 0.2053  2 Ge 2.39, 2 Cu 2.40-2.46
Cu: 0.8510 0.6457 0.4966  2 Ge 2.39, 2 Cu 2.40-2.46
Ge: 0.0000 0.0000 0.5000  6 Cu 2.39
Ge: 0.0000 0.5000 0.0000  6 Cu 2.39
Ge: 0.5000 0.0000 0.0000  6 Cu 2.39
Ge: 0.5000 0.5000 0.5000  6 Cu 2.39

=====

# 3
Th4ScAs5 | GGA-PBE | optimized geometry

Output
The total magnetic moment comes out at 0.000 Bohr magnetons per cell. The value obtained for the formation energy from the elements is -1.359 eV per atom. The density of states at the Fermi level comes out at 0.59 states/eV/atom.

a b c (Å): 7.2614 7.2614 7.2614
angles (deg): 99.70 99.70 131.53
Last column: nearest neighbours and their distance in Å.
Positions (direct):
Th: 0.0968 0.3011 0.3979  6 As 2.96-3.05
Th: 0.3011 0.9032 0.2043  6 As 2.96-3.05
Th: 0.6989 0.0968 0.7957  6 As 2.96-3.05
Th: 0.9032 0.6989 0.6021  6 As 2.96-3.05
Sc: 0.5000 0.5000 0.0000  6 As 2.84-2.98
As: 0.0000 0.0000 0.0000  4 Th 2.96, 2 Sc 2.98
As: 0.2127 0.5975 0.8102  1 Sc 2.84, 5 Th 2.98-3.05
As: 0.4025 0.2127 0.6151  1 Sc 2.84, 5 Th 2.98-3.05
As: 0.5975 0.7873 0.3849  1 Sc 2.84, 5 Th 2.98-3.05
As: 0.7873 0.4025 0.1898  1 Sc 2.84, 5 Th 2.98-3.05

=====

# 4
Pt2RhBr | GGA-PBE | optimized geometry

Output
The total magnetic moment comes out at 0.000 Bohr magnetons per cell. The density of states at the Fermi level comes out at 1.02 states/eV/atom. The energy relative to the lowest polymorph listed for this composition comes out at 0.0 meV/atom. The value obtained for the formation energy without anion corrections is 386 meV per atom.

a b c (Å): 2.7867 4.8739 5.0471
angles (deg): 90.00 90.00 90.00
Last column: nearest neighbours and their distance in Å.
Positions (direct):
Pt: 0.0000 0.0000 0.0000  2 Br 2.52, 6 Pt 2.79-2.81
Pt: 0.5000 0.5000 0.0000  6 Pt 2.79-2.81, 4 Rh 2.88
Rh: 0.0000 0.5000 0.5000  2 Br 2.44
Br: 0.0000 0.0000 0.5000  2 Rh 2.44, 2 Pt 2.52

=====

# 5
NdGa4NiAu2 | GGA-PBE | optimized geometry

Output
The total magnetic moment comes out at 0.000 Bohr magnetons per cell. The value obtained for the formation energy from the elements is -0.397 eV per atom. The density of states at the Fermi level comes out at 0.41 states/eV/atom.

a b c (Å): 9.2164 9.2164 9.2164
angles (deg): 27.43 27.43 27.43
Last column: nearest neighbours and their distance in Å.
Positions (direct):
Nd: 0.0000 0.0000 0.0000  6 Ga 3.11, 6 Au 3.47
Ga: 0.1365 0.1365 0.1365  3 Ni 2.65, 4 Au 2.82-2.85
Ga: 0.4015 0.4015 0.4015  3 Au 2.59, 1 Ni 2.62
Ga: 0.5985 0.5985 0.5985  3 Au 2.59, 1 Ni 2.62
Ga: 0.8635 0.8635 0.8635  3 Ni 2.65, 4 Au 2.82-2.85
Ni: 0.5000 0.5000 0.5000  8 Ga 2.62-2.65
Au: 0.2439 0.2439 0.2439  7 Ga 2.59-2.85
Au: 0.7561 0.7561 0.7561  7 Ga 2.59-2.85

=====

# 6
PuZnGePd | GGA-PBE | optimized geometry

Output
The total magnetic moment comes out at 5.589 Bohr magnetons per cell. The value obtained for the formation energy from the elements is -0.320 eV per atom. The density of states at the Fermi level comes out at 2.93 states/eV/atom.

a b c (Å): 4.7185 4.7185 4.7185
angles (deg): 60.00 60.00 60.00
Last column: nearest neighbours and their distance in Å.
Positions (direct):
Pu: 0.0000 0.0000 0.0000  4 Ge 2.89, 4 Zn 2.89
Zn: 0.2500 0.2500 0.2500  4 Pd 2.89, 4 Pu 2.89
Ge: 0.7500 0.7500 0.7500  4 Pd 2.89, 4 Pu 2.89
Pd: 0.5000 0.5000 0.5000  4 Zn 2.89, 4 Ge 2.89

=====

# 7
Cr2CdNi | GGA-PBE | optimized geometry

Output
The total magnetic moment comes out at 0.154 Bohr magnetons per cell. The value obtained for the formation energy from the elements is 0.363 eV per atom. The density of states at the Fermi level comes out at 0.81 states/eV/atom.

a b c (Å): 4.8221 4.8221 4.5209
angles (deg): 111.24 111.24 37.11
Last column: nearest neighbours and their distance in Å.
Positions (direct):
Cr: 0.0000 0.0000 0.0000  2 Cr 2.48, 2 Ni 2.54, 4 Cd 2.73-2.74
Cr: 0.7297 0.7297 0.1906  2 Cr 2.48, 2 Ni 2.71
Cd: 0.5076 0.5076 0.5074  3 Ni 2.66-2.76, 8 Cr 2.73-2.98
Ni: 0.2646 0.2646 0.7291  6 Cr 2.54-2.79, 3 Cd 2.66-2.76

=====

# 8
Li2PmCdPd4 | GGA-PBE | optimized geometry

Output
The total magnetic moment comes out at 0.000 Bohr magnetons per cell. The value obtained for the formation energy from the elements is -0.520 eV per atom. The density of states at the Fermi level comes out at 0.55 states/eV/atom.

a b c (Å): 8.4321 8.4321 8.4321
angles (deg): 30.99 30.99 30.99
Last column: nearest neighbours and their distance in Å.
Positions (direct):
Li: 0.2388 0.2388 0.2388  7 Pd 2.68-2.82
Li: 0.7612 0.7612 0.7612  7 Pd 2.68-2.82
Pm: 0.0000 0.0000 0.0000  8 Pd 2.91-2.93
Cd: 0.5000 0.5000 0.5000  8 Pd 2.71-2.82
Pd: 0.1217 0.1217 0.1217  4 Li 2.68-2.82, 3 Cd 2.82, 1 Pm 2.93
Pd: 0.3874 0.3874 0.3874  1 Cd 2.71, 3 Li 2.78, 3 Pm 2.91
Pd: 0.6126 0.6126 0.6126  1 Cd 2.71, 3 Li 2.78, 3 Pm 2.91
Pd: 0.8783 0.8783 0.8783  4 Li 2.68-2.82, 3 Cd 2.82, 1 Pm 2.93

=====

# 9
Tc2OsRu | GGA-PBE | optimized geometry

Output
The total magnetic moment comes out at 0.000 Bohr magnetons per cell. The value obtained for the formation energy from the elements is 0.056 eV per atom. The density of states at the Fermi level comes out at 1.01 states/eV/atom. The energy relative to the lowest polymorph listed for this composition comes out at 133.5 meV/atom.

a b c (Å): 4.7320 4.7293 3.8541
angles (deg): 66.00 65.92 48.08
Last column: nearest neighbours and their distance in Å.
Positions (direct):
Tc: 0.0000 0.0000 0.0000  4 Os 2.72-2.73, 4 Ru 2.73, 4 Tc 2.73
Tc: 0.2500 0.2500 0.2500  4 Ru 2.72-2.73, 4 Os 2.73, 4 Tc 2.73
Os: 0.5000 0.5000 0.5000  8 Tc 2.72-2.73, 4 Ru 2.73
Ru: 0.7500 0.7500 0.7500  8 Tc 2.72-2.73, 4 Os 2.73

=====

# 10
Ca2Mg2Cu | GGA-PBE | optimized geometry

Output
The total magnetic moment comes out at 0.000 Bohr magnetons per cell. The value obtained for the formation energy from the elements is -0.021 eV per atom. The density of states at the Fermi level comes out at 0.68 states/eV/atom. The energy relative to the lowest polymorph listed for this composition comes out at 63.4 meV/atom.

a b c (Å): 6.1124 4.0254 11.3307
angles (deg): 90.00 91.94 90.00
Last column: nearest neighbours and their distance in Å.
Positions (direct):
Ca: 0.0563 0.2500 0.3557  2 Cu 3.17-3.53, 2 Mg 3.37
Ca: 0.2679 0.7500 0.0741  2 Cu 3.08, 4 Mg 3.22-3.42
Ca: 0.7321 0.2500 0.9259  2 Cu 3.08, 4 Mg 3.22-3.42
Ca: 0.9437 0.7500 0.6443  2 Cu 3.17-3.53, 2 Mg 3.37
Mg: 0.2307 0.2500 0.8305  2 Cu 2.66
Mg: 0.4655 0.2500 0.6021  2 Cu 2.73, 1 Mg 3.00
Mg: 0.5345 0.7500 0.3979  2 Cu 2.73, 1 Mg 3.00
Mg: 0.7693 0.7500 0.1695  2 Cu 2.66
Cu: 0.4839 0.7500 0.7646  4 Mg 2.66-2.73
Cu: 0.5161 0.2500 0.2354  4 Mg 2.66-2.73

=====

> Look up the total magnetic moment of the second one.

0.000 Bohr magnetons per cell

=====

Repeat the second record exactly.
HoCu12Ge4 | GGA-PBE | optimized geometry

Output
The total magnetic moment comes out at 0.000 Bohr magnetons per cell. The value obtained for the formation energy from the elements is 0.310 eV per atom. The density of states at the Fermi level comes out at 0.57 states/eV/atom.

a b c (Å): 7.1485 7.1485 7.1485
angles (deg): 109.47 109.47 109.47
Last column: nearest neighbours and their distance in Å.
Positions (direct):
Ho: 0.0000 0.0000 0.0000  12 Cu 3.17
Cu: 0.1490 0.3543 0.5034  2 Ge 2.39, 2 Cu 2.40-2.46
Cu: 0.1490 0.6457 0.7947  2 Ge 2.39, 2 Cu 2.40-2.46
Cu: 0.2053 0.8510 0.3543  2 Ge 2.39, 2 Cu 2.40-2.46
Cu: 0.3543 0.2053 0.8510  2 Ge 2.39, 2 Cu 2.40-2.46
Cu: 0.3543 0.5034 0.1490  2 Ge 2.39, 2 Cu 2.40-2.46
Cu: 0.4966 0.8510 0.6457  2 Ge 2.39, 2 Cu 2.40-2.46
Cu: 0.5034 0.1490 0.3543  2 Ge 2.39, 2 Cu 2.40-2.46
Cu: 0.6457 0.4966 0.8510  2 Ge 2.39, 2 Cu 2.40-2.46
Cu: 0.6457 0.7947 0.1490  2 Ge 2.39, 2 Cu 2.40-2.46
Cu: 0.7947 0.1490 0.6457  2 Ge 2.39, 2 Cu 2.40-2.46
Cu: 0.8510 0.3543 0.2053  2 Ge 2.39, 2 Cu 2.40-2.46
Cu: 0.8510 0.6457 0.4966  2 Ge 2.39, 2 Cu 2.40-2.46
Ge: 0.0000 0.0000 0.5000  6 Cu 2.39
Ge: 0.0000 0.5000 0.0000  6 Cu 2.39
Ge: 0.5000 0.0000 0.0000  6 Cu 2.39
Ge: 0.5000 0.5000 0.5000  6 Cu 2.39

=====

> What is the total magnetic moment in the ninth record?

0.000 Bohr magnetons per cell